a | Computed, not measured: an optimized crystal structure of KVAsBr2 at the PBE-GGA level of DFT.

a b c (Å): 5.920 5.920 6.040
angles (deg): 90.00 90.00 90.00
Space group P4/mmm (No. 123)
Inequivalent atoms, fractional coordinates:
K 0.000 0.000 0.000
V 0.500 0.500 0.500
As 0.000 0.000 0.500
Br 0.000 0.500 0.000

Summary:
Density of states at the Fermi level: 6.518 states/eV/f.u.

b | Computed, not measured: an optimized crystal structure of KVAsBr2 at the PBE-GGA level of DFT.

a b c (Å): 5.408 5.408 4.801
angles (deg): 90.00 90.00 90.00
Space group P4/mmm (No. 123)
Inequivalent atoms, fractional coordinates:
K 0.000 0.000 0.000
V 0.500 0.500 0.500
As 0.500 0.500 0.000
Br 0.000 0.500 0.500

Summary:
Density of states at the Fermi level: 1.860 states/eV/f.u.

Energies relative to the most stable structure are a 135.9; b 0.0, reported in kJ/mol of atoms.

a | Computed, not measured: an optimized crystal structure of KAs2WBr at the PBE-GGA level of DFT.

a b c (Å): 5.567 5.567 5.470
angles (deg): 90.00 90.00 90.00
Space group P4/mmm (No. 123)
Inequivalent atoms, fractional coordinates:
K 0.000 0.000 0.000
As 0.000 0.500 0.000
W 0.500 0.500 0.500
Br 0.000 0.000 0.500

Summary:
Density of states at the Fermi level: 5.553 states/eV/f.u.

b | Computed, not measured: an optimized crystal structure of KAs2WBr at the PBE-GGA level of DFT.

a b c (Å): 4.864 4.864 5.806
angles (deg): 90.00 90.00 90.00
Space group P4/mmm (No. 123)
Inequivalent atoms, fractional coordinates:
K 0.000 0.000 0.000
As 0.000 0.500 0.500
W 0.500 0.500 0.500
Br 0.500 0.500 0.000

Summary:
Density of states at the Fermi level: 4.135 states/eV/f.u.

Energies relative to the most stable structure are a 209.6; b 0.0, reported in kJ/mol of atoms.

a | Computed, not measured: an optimized crystal structure of KYAs2Br at the PBE-GGA level of DFT.

a b c (Å): 5.515 5.515 5.806
angles (deg): 90.00 90.00 90.00
Space group P4/mmm (No. 123)
Inequivalent atoms, fractional coordinates:
K 0.000 0.000 0.000
Y 0.500 0.500 0.500
As 0.000 0.500 0.500
Br 0.500 0.500 0.000

Summary:
Density of states at the Fermi level: 3.382 states/eV/f.u.

b | Computed, not measured: an optimized crystal structure of KYAs2Br at the PBE-GGA level of DFT.

a b c (Å): 5.329 5.329 5.451
angles (deg): 90.00 90.00 90.00
Space group P4/mmm (No. 123)
Inequivalent atoms, fractional coordinates:
K 0.000 0.000 0.000
Y 0.500 0.500 0.500
As 0.000 0.500 0.000
Br 0.000 0.000 0.500

Summary:
Density of states at the Fermi level: 5.009 states/eV/f.u.

Energies relative to the most stable structure are a 0.0; b 102.0, reported in kJ/mol of atoms.

a | Computed, not measured: an optimized crystal structure of KZrAsBr2 at the PBE-GGA level of DFT.

a b c (Å): 5.523 5.523 5.209
angles (deg): 90.00 90.00 90.00
Space group P4/mmm (No. 123)
Inequivalent atoms, fractional coordinates:
K 0.000 0.000 0.000
Zr 0.500 0.500 0.500
As 0.500 0.500 0.000
Br 0.000 0.500 0.500

Summary:
Density of states at the Fermi level: 1.323 states/eV/f.u.

b | Computed, not measured: an optimized crystal structure of KZrAsBr2 at the PBE-GGA level of DFT.

a b c (Å): 5.556 5.556 5.873
angles (deg): 90.00 90.00 90.00
Space group P4/mmm (No. 123)
Inequivalent atoms, fractional coordinates:
K 0.000 0.000 0.000
Zr 0.500 0.500 0.500
As 0.000 0.000 0.500
Br 0.000 0.500 0.000

Summary:
Density of states at the Fermi level: 4.860 states/eV/f.u.

Energies relative to the most stable structure are a 0.0; b 148.3, reported in kJ/mol of atoms.

a | Computed, not measured: an optimized crystal structure of LaAs2Br at the PBE-GGA level of DFT.

a b c (Å): 4.157 4.157 11.126
angles (deg): 90.00 90.00 90.00
Space group I4/mmm (No. 139)
Inequivalent atoms, fractional coordinates:
La 0.000 0.000 0.000
As 0.000 0.500 0.250
Br 0.000 0.000 0.500

Summary:
Density of states at the Fermi level: 1.487 states/eV/f.u.

b | Computed, not measured: an optimized crystal structure of LaAs2Br at the PBE-GGA level of DFT.

a b c (Å): 7.354 7.354 7.354
angles (deg): 90.00 90.00 90.00
Space group F-43m (No. 216)
Inequivalent atoms, fractional coordinates:
La 0.000 0.000 0.000
As 0.000 0.000 0.500
As 0.250 0.250 0.750
Br 0.250 0.250 0.250

Summary:
Density of states at the Fermi level: 4.640 states/eV/f.u.

Energies relative to the most stable structure are a 0.0; b 32.6, reported in kJ/mol of atoms.

a | Computed, not measured: an optimized crystal structure of LaAs2Br at the PBE-GGA level of DFT.

a b c (Å): 4.342 4.342 23.171
angles (deg): 90.00 90.00 90.00
Space group I-42d (No. 122)
Inequivalent atoms, fractional coordinates:
La 0.000 0.000 0.000
As 0.165 0.250 0.125
Br 0.000 0.000 0.500

Summary:
Density of states at the Fermi level: 1.876 states/eV/f.u.

b | Computed, not measured: an optimized crystal structure of LaAs2Br at the PBE-GGA level of DFT.

a b c (Å): 4.4365 4.4365 22.6243
angles (deg): 90.00 90.00 120.00
Space group R3m (No. 160, hexagonal axes)
Inequivalent atoms, fractional coordinates:
La 0.0000 0.0000 0.0000
As 0.0000 0.0000 0.2537
As 0.0000 0.0000 0.5666
Br 0.0000 0.0000 0.7454

Summary:
Density of states at the Fermi level: 0.761 states/eV/f.u.

c | Computed, not measured: an optimized crystal structure of LaAs2Br at the PBE-GGA level of DFT.

a b c (Å): 3.683 3.683 8.226
angles (deg): 90.00 90.00 90.00
Space group P4mm (No. 99)
Inequivalent atoms, fractional coordinates:
La 0.000 0.000 0.000
As 0.000 0.000 0.359
As 0.500 0.500 0.251
Br 0.500 0.500 0.787

Summary:
Density of states at the Fermi level: 1.586 states/eV/f.u.

Energies relative to the most stable structure are a 14.3; b 0.0; c 8.1, reported in kJ/mol of atoms.

a | Computed, not measured: an optimized crystal structure of LaAs2Br at the PBE-GGA level of DFT.

a b c (Å): 5.842 5.852 5.670
angles (deg): 90.00 90.20 90.00
Space group C2/m (No. 12)
Inequivalent atoms, fractional coordinates:
La 0.000 0.000 0.000
As 0.250 0.250 0.500
Br 0.000 0.500 0.000

Summary:
Density of states at the Fermi level: 1.258 states/eV/f.u.

b | Computed, not measured: an optimized crystal structure of LaAs2Br at the PBE-GGA level of DFT.

a b c (Å): 11.390 3.779 5.095
angles (deg): 90.00 100.58 90.00
Space group C2/m (No. 12)
Inequivalent atoms, fractional coordinates:
La 0.000 0.000 0.000
As 0.239 0.500 0.156
Br 0.000 0.500 0.500

Summary:
Density of states at the Fermi level: 0.484 states/eV/f.u.

c | Computed, not measured: an optimized crystal structure of LaAs2Br at the PBE-GGA level of DFT.

a b c (Å): 7.388 7.388 7.388
angles (deg): 90.00 90.00 90.00
Space group Fm-3m (No. 225)
Inequivalent atoms, fractional coordinates:
La 0.000 0.000 0.000
As 0.250 0.250 0.250
Br 0.000 0.000 0.500

Summary:
Density of states at the Fermi level: 4.527 states/eV/f.u.

Energies relative to the most stable structure are a 15.6; b 0.0; c 76.4, reported in kJ/mol of atoms.

a | Computed, not measured: an optimized crystal structure of LaAs2Br at the PBE-GGA level of DFT.

a b c (Å): 3.877 3.773 8.244
angles (deg): 90.00 103.58 90.00
Space group Pm (No. 6)
Inequivalent atoms, fractional coordinates:
La 0.000 0.000 0.000
As 0.189 0.000 0.628
As 0.399 0.500 0.817
Br 0.619 0.500 0.234

Summary:
Density of states at the Fermi level: 0.185 states/eV/f.u.

b | Computed, not measured: an optimized crystal structure of LaAs2Br at the PBE-GGA level of DFT.

a b c (Å): 4.421 4.421 9.904
angles (deg): 90.00 90.00 90.00
Space group I-4m2 (No. 119)
Inequivalent atoms, fractional coordinates:
La 0.000 0.000 0.000
As 0.000 0.000 0.500
As 0.000 0.500 0.750
Br 0.000 0.500 0.250

Summary:
Density of states at the Fermi level: 2.393 states/eV/f.u.

c | Computed, not measured: an optimized crystal structure of LaAs2Br at the PBE-GGA level of DFT.

a b c (Å): 3.969 5.410 9.482
angles (deg): 90.00 90.00 90.00
Space group Imm2 (No. 44)
Inequivalent atoms, fractional coordinates:
La 0.000 0.000 0.000
As 0.000 0.000 0.502
As 0.000 0.500 0.168
Br 0.000 0.500 0.750

Summary:
Density of states at the Fermi level: 0.207 states/eV/f.u.

Energies relative to the most stable structure are a 1.1; b 34.2; c 0.0, reported in kJ/mol of atoms.

a | Computed, not measured: an optimized crystal structure of LaMgAsBr2 at the PBE-GGA level of DFT.

a b c (Å): 5.737 5.737 5.982
angles (deg): 90.00 90.00 90.00
Space group P4/mmm (No. 123)
Inequivalent atoms, fractional coordinates:
La 0.000 0.000 0.000
Mg 0.500 0.500 0.500
As 0.000 0.000 0.500
Br 0.000 0.500 0.000

Summary:
Density of states at the Fermi level: 2.209 states/eV/f.u.

b | Computed, not measured: an optimized crystal structure of LaMgAsBr2 at the PBE-GGA level of DFT.

a b c (Å): 4.949 4.949 5.599
angles (deg): 90.00 90.00 90.00
Space group P4/mmm (No. 123)
Inequivalent atoms, fractional coordinates:
La 0.000 0.000 0.000
Mg 0.500 0.500 0.500
As 0.500 0.500 0.000
Br 0.000 0.500 0.500

Energies relative to the most stable structure are a 28.2; b 0.0, reported in kJ/mol of atoms.

a | Computed, not measured: an optimized crystal structure of LaMgAs2Br at the PBE-GGA level of DFT.

a b c (Å): 5.748 5.748 5.687
angles (deg): 90.00 90.00 90.00
Space group P4/mmm (No. 123)
Inequivalent atoms, fractional coordinates:
La 0.000 0.000 0.000
Mg 0.500 0.500 0.500
As 0.000 0.500 0.000
Br 0.000 0.000 0.500

Summary:
Density of states at the Fermi level: 5.614 states/eV/f.u.

b | Computed, not measured: an optimized crystal structure of LaMgAs2Br at the PBE-GGA level of DFT.

a b c (Å): 4.971 4.971 5.261
angles (deg): 90.00 90.00 90.00
Space group P4/mmm (No. 123)
Inequivalent atoms, fractional coordinates:
La 0.000 0.000 0.000
Mg 0.500 0.500 0.500
As 0.000 0.500 0.500
Br 0.500 0.500 0.000

Summary:
Density of states at the Fermi level: 1.662 states/eV/f.u.

Energies relative to the most stable structure are a 52.1; b 0.0, reported in kJ/mol of atoms.

a | Computed, not measured: an optimized crystal structure of LaMoAs2Br at the PBE-GGA level of DFT.

a b c (Å): 4.864 4.864 5.280
angles (deg): 90.00 90.00 90.00
Space group P4/mmm (No. 123)
Inequivalent atoms, fractional coordinates:
La 0.000 0.000 0.000
Mo 0.500 0.500 0.500
As 0.000 0.500 0.500
Br 0.500 0.500 0.000

Summary:
Density of states at the Fermi level: 4.386 states/eV/f.u.

b | Computed, not measured: an optimized crystal structure of LaMoAs2Br at the PBE-GGA level of DFT.

a b c (Å): 5.737 5.737 5.633
angles (deg): 90.00 90.00 90.00
Space group P4/mmm (No. 123)
Inequivalent atoms, fractional coordinates:
La 0.000 0.000 0.000
Mo 0.500 0.500 0.500
As 0.000 0.500 0.000
Br 0.000 0.000 0.500

Summary:
Density of states at the Fermi level: 4.041 states/eV/f.u.

Energies relative to the most stable structure are a 0.0; b 108.6, reported in kJ/mol of atoms.

a | Computed, not measured: an optimized crystal structure of LaAsBr2N at the PBE-GGA level of DFT.

a b c (Å): 5.917 5.917 6.163
angles (deg): 90.00 90.00 90.00
Space group P4/mmm (No. 123)
Inequivalent atoms, fractional coordinates:
La 0.000 0.000 0.000
As 0.000 0.000 0.500
Br 0.000 0.500 0.000
N 0.500 0.500 0.500

Summary:
Density of states at the Fermi level: 1.390 states/eV/f.u.

b | Computed, not measured: an optimized crystal structure of LaAsBr2N at the PBE-GGA level of DFT.

a b c (Å): 4.724 4.724 4.776
angles (deg): 90.00 90.00 90.00
Space group P4/mmm (No. 123)
Inequivalent atoms, fractional coordinates:
La 0.000 0.000 0.000
As 0.500 0.500 0.000
Br 0.000 0.500 0.500
N 0.500 0.500 0.500

Summary:
Density of states at the Fermi level: 3.225 states/eV/f.u.

Energies relative to the most stable structure are a 24.9; b 0.0, reported in kJ/mol of atoms.